No. 1
# LiTbDy2Se5

Crystalline LiTbDy2Se5 at its relaxed geometry (PBE-GGA, Alexandria via LeMat-Bulk).

**Crystal system**: orthorhombic
**Space-group type**: No. 36
**Final energy**: -96.7 eV/cell

abc: 4.0587 8.7336 12.3939
angles: 90.00 90.00 103.44
Fractional positions:
Li (0.5122, 0.0243, 0.9818)
Li (0.4878, 0.9757, 0.4818)
Tb (0.1951, 0.3902, 0.0007)
Tb (0.8049, 0.6098, 0.5007)
Dy (0.8756, 0.7512, 0.7920)
Dy (0.8921, 0.7841, 0.1842)
Dy (0.1079, 0.2159, 0.6842)
Dy (0.1244, 0.2488, 0.2920)
Se (0.2861, 0.5723, 0.6638)
Se (0.4998, 0.9996, 0.2855)
Se (0.5002, 0.0004, 0.7855)
Se (0.6924, 0.3848, 0.8379)
Se (0.3625, 0.7251, 0.0013)
Se (0.0446, 0.0892, 0.0766)
Se (0.3076, 0.6152, 0.3379)
Se (0.7139, 0.4277, 0.1638)
Se (0.6375, 0.2749, 0.5013)
Se (0.9554, 0.9108, 0.5766)

***

No. 2
# La4Sb2AsS

Crystalline La4Sb2AsS at its relaxed geometry (PBE-GGA, Alexandria via LeMat-Bulk).

**Crystal system**: monoclinic
**Space-group type**: No. 10
**Final energy**: -49.2 eV/cell

abc: 4.4508 7.7280 7.6952
angles: 70.61 90.00 90.00
Fractional positions:
La (0.0000, 0.2661, 0.2447)
La (0.5000, 0.2659, 0.7452)
La (0.0000, 0.7339, 0.7553)
La (0.5000, 0.7341, 0.2548)
Sb (0.0000, 0.0000, 0.0000)
Sb (0.5000, 0.0000, 0.5000)
As (0.0000, 0.5000, 0.5000)
S (0.5000, 0.5000, 0.0000)

***

No. 3
# PrTh2Cu

Crystalline PrTh2Cu at its relaxed geometry (PBE-GGA, Alexandria via LeMat-Bulk).

**Crystal system**: trigonal
**Space-group type**: No. 166
**DFT formation energy**: 0.28 eV/atom

abc: 3.4892 3.4892 11.4451
angles: 81.23 81.23 60.00
Fractional positions:
Cu (0.5000, 0.5000, 0.5000)
Pr (0.0000, 0.0000, 0.0000)
Th (0.1020, 0.1020, 0.6940)
Th (0.8980, 0.8980, 0.3060)

***

No. 4
# Pu6MnTc2

Crystalline Pu6MnTc2 at its relaxed geometry (PBE-GGA, Alexandria via LeMat-Bulk).

**Crystal system**: trigonal
**Space-group type**: No. 162
**DFT formation energy**: 0.19 eV/atom

abc: 2.9051 7.5317 7.5317
angles: 120.00 90.00 90.00
Fractional positions:
Tc (0.5002, 0.6667, 0.3333)
Tc (0.4998, 0.3333, 0.6667)
Pu (0.0908, 0.6760, 0.6761)
Pu (0.9092, 0.6761, 0.0000)
Pu (0.0908, 0.3239, 0.0000)
Pu (0.9092, 0.0000, 0.6760)
Pu (0.0908, 0.0000, 0.3240)
Pu (0.9092, 0.3240, 0.3239)
Mn (0.5000, 0.0000, 0.0000)